(i)
First-principles (GGA-PBE) data for ReAgO2 after structural relaxation, as listed in Alexandria.

Cell and atoms, written as CIF:
```
data_ReAgO2
_cell_length_a 6.0453
_cell_length_b 6.0453
_cell_length_c 11.8389
_cell_angle_alpha 90.00
_cell_angle_beta 90.00
_cell_angle_gamma 90.00
_space_group_name_H-M_alt 'I 41/a m d'
_space_group_IT_number 141
loop_
_space_group_symop_operation_xyz
'x,y,z'
'-x,-y,-z'
'-y+1/4,x+3/4,z+1/4'
'y+1/4,-x+3/4,-z+1/4'
'-x+1/2,-y,z+1/2'
'x+1/2,y,-z+1/2'
'y+1/4,-x+1/4,z+3/4'
'-y+1/4,x+1/4,-z+3/4'
'x,-y,-z'
'-x,y,z'
'-y+1/4,-x+1/4,-z+3/4'
'y+1/4,x+1/4,z+3/4'
'-x+1/2,y,-z+1/2'
'x+1/2,-y,z+1/2'
'y+1/4,x+3/4,-z+1/4'
'-y+1/4,-x+3/4,z+1/4'
'x+1/2,y+1/2,z+1/2'
'-x+1/2,-y+1/2,-z+1/2'
'-y+3/4,x+1/4,z+3/4'
'y+3/4,-x+1/4,-z+3/4'
'-x,-y+1/2,z'
'x,y+1/2,-z'
'y+3/4,-x+3/4,z+1/4'
'-y+3/4,x+3/4,-z+1/4'
'x+1/2,-y+1/2,-z+1/2'
'-x+1/2,y+1/2,z+1/2'
'-y+3/4,-x+3/4,-z+1/4'
'y+3/4,x+3/4,z+1/4'
'-x,y+1/2,-z'
'x,-y+1/2,z'
'y+3/4,x+1/4,-z+3/4'
'-y+3/4,-x+1/4,z+3/4'
loop_
_atom_site_label
_atom_site_fract_x
_atom_site_fract_y
_atom_site_fract_z
Re1 0.0000 0.0000 0.0000
Ag1 0.0000 0.0000 0.5000
O1 0.0000 0.0550 0.6966
```

(ii)
First-principles (GGA-PBE) data for ReAgO2 after structural relaxation, as listed in Alexandria.

Cell and atoms, written as CIF:
```
data_ReAgO2
_cell_length_a 4.4906
_cell_length_b 4.4906
_cell_length_c 11.7358
_cell_angle_alpha 90.00
_cell_angle_beta 90.00
_cell_angle_gamma 90.00
_space_group_name_H-M_alt 'I -4 2 d'
_space_group_IT_number 122
_space_group_name_Hall 'I -4 2bw'
loop_
_atom_site_label
_atom_site_fract_x
_atom_site_fract_y
_atom_site_fract_z
Re1 0.0000 0.0000 0.0000
Ag1 0.0000 0.0000 0.5000
O1 0.1334 0.2500 0.1250
```

So which one is most stable? That would be (ii), about 94 meV/atom below the next structure.

(i)
First-principles (GGA-PBE) data for ReAg3O after structural relaxation, as listed in Alexandria.

Cell and atoms, written as CIF:
```
data_ReAg3O
_cell_length_a 5.0529
_cell_length_b 5.0529
_cell_length_c 5.0529
_cell_angle_alpha 90.00
_cell_angle_beta 90.00
_cell_angle_gamma 90.00
_space_group_name_H-M_alt 'P m -3 m'
_space_group_IT_number 221
_space_group_name_Hall '-P 4 2 3'
loop_
_atom_site_label
_atom_site_fract_x
_atom_site_fract_y
_atom_site_fract_z
Re1 0.0000 0.0000 0.0000
Ag1 0.0000 0.0000 0.5000
O1 0.5000 0.5000 0.5000
```

(ii)
First-principles (GGA-PBE) data for ReAg3O after structural relaxation, as listed in Alexandria.

Cell and atoms, written as CIF:
```
data_ReAg3O
_cell_length_a 4.4530
_cell_length_b 4.4530
_cell_length_c 4.4530
_cell_angle_alpha 90.00
_cell_angle_beta 90.00
_cell_angle_gamma 90.00
_space_group_name_H-M_alt 'P m -3 m'
_space_group_IT_number 221
_space_group_name_Hall '-P 4 2 3'
loop_
_atom_site_label
_atom_site_fract_x
_atom_site_fract_y
_atom_site_fract_z
Re1 0.0000 0.0000 0.0000
Ag1 0.0000 0.5000 0.5000
O1 0.5000 0.5000 0.5000
```

So which one is most stable? That would be (ii), about 1112 meV/atom below the next structure.

(i)
First-principles (GGA-PBE) data for Re3AgO after structural relaxation, as listed in Alexandria.

Cell and atoms, written as CIF:
```
data_Re3AgO
_cell_length_a 4.8354
_cell_length_b 4.8354
_cell_length_c 4.8354
_cell_angle_alpha 90.00
_cell_angle_beta 90.00
_cell_angle_gamma 90.00
_space_group_name_H-M_alt 'P m -3 m'
_space_group_IT_number 221
_space_group_name_Hall '-P 4 2 3'
loop_
_atom_site_label
_atom_site_fract_x
_atom_site_fract_y
_atom_site_fract_z
Re1 0.0000 0.0000 0.5000
Ag1 0.0000 0.0000 0.0000
O1 0.5000 0.5000 0.5000
```

(ii)
First-principles (GGA-PBE) data for Re3AgO after structural relaxation, as listed in Alexandria.

Cell and atoms, written as CIF:
```
data_Re3AgO
_cell_length_a 4.1182
_cell_length_b 4.1182
_cell_length_c 4.1182
_cell_angle_alpha 90.00
_cell_angle_beta 90.00
_cell_angle_gamma 90.00
_space_group_name_H-M_alt 'P m -3 m'
_space_group_IT_number 221
_space_group_name_Hall '-P 4 2 3'
loop_
_atom_site_label
_atom_site_fract_x
_atom_site_fract_y
_atom_site_fract_z
Re1 0.0000 0.0000 0.5000
Ag1 0.5000 0.5000 0.5000
O1 0.0000 0.0000 0.0000
```

So which one is most stable? That would be (ii), about 3072 meV/atom below the next structure.

(i)
First-principles (GGA-PBE) data for Re2AgO2 after structural relaxation, as listed in Alexandria.

Cell and atoms, written as CIF:
```
data_Re2AgO2
_cell_length_a 3.7544
_cell_length_b 3.7544
_cell_length_c 9.5574
_cell_angle_alpha 90.00
_cell_angle_beta 90.00
_cell_angle_gamma 90.00
_space_group_name_H-M_alt 'I 4/m m m'
_space_group_IT_number 139
_space_group_name_Hall '-I 4 2'
loop_
_atom_site_label
_atom_site_fract_x
_atom_site_fract_y
_atom_site_fract_z
Re1 0.0000 0.5000 0.2500
Ag1 0.0000 0.0000 0.0000
O1 0.0000 0.0000 0.3661
```

(ii)
First-principles (GGA-PBE) data for Re2AgO2 after structural relaxation, as listed in Alexandria.

Cell and atoms, written as CIF:
```
data_Re2AgO2
_cell_length_a 7.0939
_cell_length_b 7.0939
_cell_length_c 2.6284
_cell_angle_alpha 90.00
_cell_angle_beta 90.00
_cell_angle_gamma 90.00
_space_group_name_H-M_alt 'P 4/m b m'
_space_group_IT_number 127
_space_group_name_Hall '-P 4 2ab'
loop_
_atom_site_label
_atom_site_fract_x
_atom_site_fract_y
_atom_site_fract_z
Re1 0.1292 0.3708 0.0000
Ag1 0.0000 0.0000 0.5000
O1 0.1192 0.6192 0.5000
```

So which one is most stable? That would be (i), about 213 meV/atom below the next structure.

(i)
First-principles (GGA-PBE) data for Ag3RhO after structural relaxation, as listed in Alexandria.

Cell and atoms, written as CIF:
```
data_Ag3RhO
_cell_length_a 5.0469
_cell_length_b 5.0469
_cell_length_c 5.0469
_cell_angle_alpha 90.00
_cell_angle_beta 90.00
_cell_angle_gamma 90.00
_space_group_name_H-M_alt 'P m -3 m'
_space_group_IT_number 221
_space_group_name_Hall '-P 4 2 3'
loop_
_atom_site_label
_atom_site_fract_x
_atom_site_fract_y
_atom_site_fract_z
Ag1 0.0000 0.0000 0.5000
Rh1 0.0000 0.0000 0.0000
O1 0.5000 0.5000 0.5000
```

(ii)
First-principles (GGA-PBE) data for Ag3RhO after structural relaxation, as listed in Alexandria.

Cell and atoms, written as CIF:
```
data_Ag3RhO
_cell_length_a 4.3746
_cell_length_b 4.3746
_cell_length_c 4.3746
_cell_angle_alpha 90.00
_cell_angle_beta 90.00
_cell_angle_gamma 90.00
_space_group_name_H-M_alt 'P m -3 m'
_space_group_IT_number 221
_space_group_name_Hall '-P 4 2 3'
loop_
_atom_site_label
_atom_site_fract_x
_atom_site_fract_y
_atom_site_fract_z
Ag1 0.0000 0.0000 0.5000
Rh1 0.5000 0.5000 0.5000
O1 0.0000 0.0000 0.0000
```

So which one is most stable? That would be (ii), about 1069 meV/atom below the next structure.

(i)
First-principles (GGA-PBE) data for Ag2S2O7 after structural relaxation, as listed in Alexandria.

Cell and atoms, written as CIF:
```
data_Ag2S2O7
_cell_length_a 7.1567
_cell_length_b 9.5043
_cell_length_c 4.8454
_cell_angle_alpha 90.00
_cell_angle_beta 101.28
_cell_angle_gamma 90.00
_space_group_name_H-M_alt 'C 1 2/m 1'
_space_group_IT_number 12
loop_
_space_group_symop_operation_xyz
'x,y,z'
'-x,-y,-z'
'-x,y,-z'
'x,-y,z'
'x+1/2,y+1/2,z'
'-x+1/2,-y+1/2,-z'
'-x+1/2,y+1/2,-z'
'x+1/2,-y+1/2,z'
loop_
_atom_site_label
_atom_site_fract_x
_atom_site_fract_y
_atom_site_fract_z
Ag1 0.0000 0.1951 0.0000
S1 0.2095 0.5000 0.4187
O1 0.0000 0.5000 0.5000
O2 0.1578 0.0000 0.3097
O3 0.2154 0.3705 0.2578
```

(ii)
First-principles (GGA-PBE) data for Ag2S2O7 after structural relaxation, as listed in Alexandria.

Cell and atoms, written as CIF:
```
data_Ag2S2O7
_cell_length_a 7.0048
_cell_length_b 7.1170
_cell_length_c 7.1406
_cell_angle_alpha 82.77
_cell_angle_beta 64.40
_cell_angle_gamma 83.31
_space_group_name_H-M_alt 'P -1'
_space_group_IT_number 2
loop_
_space_group_symop_operation_xyz
'x,y,z'
'-x,-y,-z'
loop_
_atom_site_label
_atom_site_fract_x
_atom_site_fract_y
_atom_site_fract_z
Ag1 0.1295 0.1830 0.2417
Ag2 0.2813 0.3524 0.6737
S1 0.2280 0.6715 0.2512
S2 0.3497 0.8521 0.8186
O1 0.0992 0.5352 0.2265
O2 0.0998 0.8410 0.3445
O3 0.2065 0.7344 0.7944
O4 0.2586 0.0412 0.8849
O5 0.3706 0.5853 0.3436
O6 0.4038 0.7399 0.0165
O7 0.4348 0.1515 0.3466
```

(iii)
First-principles (GGA-PBE) data for Ag2S2O7 after structural relaxation, as listed in Alexandria.

Cell and atoms, written as CIF:
```
data_Ag2S2O7
_cell_length_a 22.3537
_cell_length_b 5.6389
_cell_length_c 3.3493
_cell_angle_alpha 90.00
_cell_angle_beta 98.41
_cell_angle_gamma 90.00
_space_group_name_H-M_alt 'C 1 2/m 1'
_space_group_IT_number 12
loop_
_space_group_symop_operation_xyz
'x,y,z'
'-x,-y,-z'
'-x,y,-z'
'x,-y,z'
'x+1/2,y+1/2,z'
'-x+1/2,-y+1/2,-z'
'-x+1/2,y+1/2,-z'
'x+1/2,-y+1/2,z'
loop_
_atom_site_label
_atom_site_fract_x
_atom_site_fract_y
_atom_site_fract_z
Ag1 0.0000 0.2431 0.0000
S1 0.1650 0.5000 0.9584
O1 0.0000 0.5000 0.5000
O2 0.1379 0.2790 0.0475
O3 0.2170 0.5000 0.7480
```

So which one is most stable? That would be (ii), about 50 meV/atom below the next structure.